# SnAsH2, PBEsol geometry, DFT SCAN
# Crystal system   cubic
# Total magnetization   0.000 μB/f.u.
# Polymorph energy (0 for the lowest one)   188.7 meV/atom
# Volume   196 Å³/cell
data_SnAsH2
_chemical_formula_sum 'Sn4 As4 H8'
_cell_length_a 5.807
_cell_length_b 5.807
_cell_length_c 5.807
_cell_angle_alpha 90.00
_cell_angle_beta 90.00
_cell_angle_gamma 90.00
_symmetry_space_group_name_H-M 'F m -3 m'
_symmetry_Int_Tables_number 225
_symmetry_space_group_name_Hall '-F 4 2 3'
loop_
_atom_site_label
_atom_site_type_symbol
_atom_site_fract_x
_atom_site_fract_y
_atom_site_fract_z
Sn1 Sn 0.000 0.000 0.000
As1 As 0.000 0.000 0.500
H1 H 0.250 0.250 0.250